VASP calculation (GGA-PBE) on a geometry-optimized LaMgOs2 structure.

abc: 3.1696 4.9169 9.2042
angles: 90.00 90.00 90.00
Closest atoms and distances in Å follow each position.
Space group Cmmm (No. 65)
Symmetry-distinct sites (fractional):
La1 0.0000 0.0000 0.0000 (multiplicity 2)  4 Os 2.89, 6 La 2.93-3.17
Mg1 0.0000 0.0000 0.5000 (multiplicity 2)  4 Os 2.70, 4 Mg 2.93
Os1 0.0000 0.5000 0.2625 (multiplicity 4)  2 Mg 2.70, 2 La 2.89, 4 Os 2.93

Values from the calculation:
total energy: -6.740 eV per atom
crystal system: orthorhombic
energy of formation: 506 meV per atom
DOS(E_F): 6.7 states/eV per cell